1.
Computed, not measured: a geometry-optimized Y5Ag structure at the PBEsol level of DFT.

Energy: -74.86 eV per cell
Energy of formation: -0.0017 eV/atom
Magnetization: 0.00 Bohr magnetons per cell
ΔE to the lowest computed polymorph: 81.4 meV/atom

Lattice parameters (Å, degrees): 5.4149 3.6074 17.0705 90.00 90.00 90.00
Last column: nearest neighbours and their distance in Å.
Space group Amm2 (No. 38)
Asymmetric unit:
1 Y 0.0000 0.0000 0.0000 (multiplicity 2)  2 Ag 3.23, 8 Y 3.33-3.61
2 Y 0.0000 0.0000 0.3157 (multiplicity 2)  2 Ag 3.25, 10 Y 3.39-3.63
3 Y 0.5000 0.0000 0.1962 (multiplicity 2)  6 Y 3.20-3.48, 4 Ag 3.32
4 Y 0.5000 0.0000 0.5413 (multiplicity 2)  8 Y 3.20-3.42, 2 Ag 3.35
5 Y 0.5000 0.0000 0.8708 (multiplicity 2)  12 Y 3.39-3.61
6 Ag 0.0000 0.0000 0.6570 (multiplicity 2)  10 Y 3.23-3.35, 2 Ag 3.61

=====

2.
Computed, not measured: a geometry-optimized PbSe3O structure at the PBEsol level of DFT.

Energy: -14.64 eV per cell
Magnetization: 4.14 Bohr magnetons per cell
Uncorrected formation energy: 1.231 eV/atom

Lattice parameters (Å, degrees): 5.4399 5.4399 5.4399 90.00 90.00 90.00
Last column: nearest neighbours and their distance in Å.
Space group Pm-3m (No. 221)
Asymmetric unit:
1 Pb 0.0000 0.0000 0.0000 (multiplicity 1)  6 Se 2.72
2 Se 0.0000 0.0000 0.5000 (multiplicity 3)  2 Pb 2.72
3 O 0.5000 0.5000 0.5000 (multiplicity 1)  12 Se 3.85

=====

3.
Computed, not measured: a geometry-optimized MgBeAl2Pt structure at the PBEsol level of DFT.

Energy: -20.69 eV per cell
Energy of formation: 0.0348 eV/atom
Magnetization: 0.00 Bohr magnetons per cell

Lattice parameters (Å, degrees): 4.3015 4.3015 4.3166 90.00 90.00 90.00
Last column: nearest neighbours and their distance in Å.
Space group P4/mmm (No. 123)
Asymmetric unit:
1 Mg 0.0000 0.0000 0.0000 (multiplicity 1)  4 Pt 3.04, 8 Al 3.05
2 Be 0.5000 0.5000 0.5000 (multiplicity 1)  4 Al 2.15, 2 Pt 2.16
3 Al 0.0000 0.5000 0.5000 (multiplicity 2)  2 Be 2.15
4 Pt 0.5000 0.5000 0.0000 (multiplicity 1)  2 Be 2.16

=====

4.
Computed, not measured: a geometry-optimized InHg2Cl structure at the PBEsol level of DFT.

Energy: -14.40 eV per cell
Magnetization: 0.00 Bohr magnetons per cell
ΔE to the lowest computed polymorph: 54.9 meV/atom
Uncorrected formation energy: -0.269 eV/atom

Lattice parameters (Å, degrees): 3.6003 5.4855 10.2036 90.00 90.00 90.00
Last column: nearest neighbours and their distance in Å.
Space group Imm2 (No. 44)
Asymmetric unit:
1 In 0.0000 0.0000 0.0000 (multiplicity 2)  2 Cl 2.78
2 Hg 0.0000 0.0000 0.4830 (multiplicity 2)  2 Hg 3.21, 4 In 3.29, 4 Cl 3.34-3.57
3 Hg 0.0000 0.5000 0.2436 (multiplicity 2)  2 In 3.18, 2 Hg 3.21, 4 Cl 3.30
4 Cl 0.0000 0.5000 0.7074 (multiplicity 2)  2 In 2.78

=====

5.
Computed, not measured: a geometry-optimized RbDyMo2O8 structure at the PBEsol level of DFT.

Energy: -404.15 eV per cell
Magnetization: 0.00 Bohr magnetons per cell
Uncorrected formation energy: -2.459 eV/atom

Lattice parameters (Å, degrees): 10.5676 10.3186 7.6228 90.00 130.87 90.00
Last column: nearest neighbours and their distance in Å.
Space group C2/c (No. 15)
Asymmetric unit:
1 Rb 0.0000 0.1959 0.2500 (multiplicity 4)  8 O 2.78-3.07
2 Dy 0.0000 0.2304 0.7500 (multiplicity 4)  6 O 2.26-2.35
3 Mo 0.1955 0.4994 0.2380 (multiplicity 8)  4 O 1.75-1.96
4 O 0.0247 0.3918 0.9711 (multiplicity 8)  2 Mo 1.96-2.09
5 O 0.1276 0.0777 0.6955 (multiplicity 8)  1 Mo 1.77
6 O 0.1895 0.4239 0.4377 (multiplicity 8)  1 Mo 1.75
7 O 0.2290 0.1582 0.1259 (multiplicity 8)  1 Mo 1.82

=====

6.
Computed, not measured: a geometry-optimized Mg2PbW structure at the PBEsol level of DFT.

Energy: -37.71 eV per cell
Energy of formation: 0.5960 eV/atom
Magnetization: 0.00 Bohr magnetons per cell

Lattice parameters (Å, degrees): 4.0527 4.0527 9.4270 90.00 90.00 90.00
Last column: nearest neighbours and their distance in Å.
Space group I4/mmm (No. 139)
Asymmetric unit:
1 Mg 0.0000 0.5000 0.2500 (multiplicity 4)  4 Mg 2.87, 4 W 3.11, 4 Pb 3.11
2 Pb 0.0000 0.0000 0.0000 (multiplicity 2)  4 W 2.87, 8 Mg 3.11
3 W 0.0000 0.0000 0.5000 (multiplicity 2)  4 Pb 2.87, 8 Mg 3.11

=====

7.
Computed, not measured: a geometry-optimized Y2ScTe2 structure at the PBEsol level of DFT.

Energy: -65.20 eV per cell
Magnetization: 0.00 Bohr magnetons per cell
Uncorrected formation energy: -1.059 eV/atom

Lattice parameters (Å, degrees): 8.0246 8.0246 3.9517 90.00 90.00 90.00
Last column: nearest neighbours and their distance in Å.
Space group P4/mbm (No. 127)
Asymmetric unit:
1 Y 0.1529 0.3471 0.0000 (multiplicity 4)  6 Te 2.99-3.13
2 Sc 0.0000 0.0000 0.5000 (multiplicity 2)  4 Te 3.06
3 Te 0.1494 0.6494 0.5000 (multiplicity 4)  6 Y 2.99-3.13, 2 Sc 3.06

=====

8.
Computed, not measured: a geometry-optimized Ba2Pt structure at the PBEsol level of DFT.

Energy: -50.65 eV per cell
Energy of formation: -0.4673 eV/atom
Magnetization: 0.00 Bohr magnetons per cell

Lattice parameters (Å, degrees): 4.4977 18.5151 6.3601 90.00 90.00 90.00
Last column: nearest neighbours and their distance in Å.
Space group Cmcm (No. 63)
Asymmetric unit:
1 Ba 0.0000 0.0776 0.2500 (multiplicity 4)  2 Pt 3.01
2 Ba 0.0000 0.3046 0.2500 (multiplicity 4)  4 Pt 3.14-3.18
3 Pt 0.0000 0.3140 0.7500 (multiplicity 4)  6 Ba 3.01-3.18

=====

9.
Computed, not measured: a geometry-optimized SrSi structure at the PBEsol level of DFT.

Energy: -34.46 eV per cell
Magnetization: 0.00 Bohr magnetons per cell
Uncorrected formation energy: -0.515 eV/atom

Lattice parameters (Å, degrees): 4.7474 11.2705 4.0041 90.00 90.00 90.00
Last column: nearest neighbours and their distance in Å.
Space group Cmcm (No. 63)
Asymmetric unit:
1 Sr 0.0000 0.1400 0.2500 (multiplicity 4)  7 Si 3.22-3.34
2 Si 0.0000 0.4360 0.2500 (multiplicity 4)  2 Si 2.47

=====

10.
Computed, not measured: a geometry-optimized RbSrYGe2 structure at the PBEsol level of DFT.

Energy: -14.36 eV per cell
Energy of formation: 1.0405 eV/atom
Magnetization: 0.56 Bohr magnetons per cell

Lattice parameters (Å, degrees): 5.5911 5.5911 5.3558 90.00 90.00 90.00
Last column: nearest neighbours and their distance in Å.
Space group P4/mmm (No. 123)
Asymmetric unit:
1 Rb 0.0000 0.0000 0.0000 (multiplicity 1)  2 Sr 2.68, 4 Ge 2.80
2 Sr 0.0000 0.0000 0.5000 (multiplicity 1)  2 Rb 2.68
3 Y 0.5000 0.5000 0.5000 (multiplicity 1)  8 Ge 3.87, 4 Sr 3.95
4 Ge 0.0000 0.5000 0.0000 (multiplicity 2)  2 Rb 2.80

=====

11.
Computed, not measured: a geometry-optimized Be3Co5 structure at the PBEsol level of DFT.

Energy: -104.21 eV per cell
Energy of formation: -0.1773 eV/atom
Magnetization: 9.84 Bohr magnetons per cell
ΔE to the lowest computed polymorph: 0.0 meV/atom

Lattice parameters (Å, degrees): 5.2617 7.4454 3.7127 90.00 90.00 90.00
Last column: nearest neighbours and their distance in Å.
Space group Cmmm (No. 65)
Asymmetric unit:
1 Be 0.0000 0.0000 0.0000 (multiplicity 2)  8 Co 2.23-2.28
2 Be 0.0000 0.2576 0.5000 (multiplicity 4)  8 Co 2.28
3 Co 0.0000 0.5000 0.0000 (multiplicity 2)  8 Co 2.28-2.32
4 Co 0.2359 0.0000 0.5000 (multiplicity 4)  6 Be 2.23-2.28, 3 Co 2.32-2.48
5 Co 0.2500 0.2500 0.0000 (multiplicity 4)  6 Be 2.28, 2 Co 2.28

=====

12.
Computed, not measured: a geometry-optimized GaReSe3 structure at the PBEsol level of DFT.

Energy: -26.35 eV per cell
Magnetization: 0.00 Bohr magnetons per cell
ΔE to the lowest computed polymorph: 0.0 meV/atom
Uncorrected formation energy: 0.375 eV/atom

Lattice parameters (Å, degrees): 4.8735 4.8735 4.8735 90.00 90.00 90.00
Last column: nearest neighbours and their distance in Å.
Space group Pm-3m (No. 221)
Asymmetric unit:
1 Ga 0.0000 0.0000 0.0000 (multiplicity 1)  12 Se 3.45
2 Re 0.5000 0.5000 0.5000 (multiplicity 1)  6 Se 2.44
3 Se 0.0000 0.5000 0.5000 (multiplicity 3)  2 Re 2.44

=====

Number 1: volume 166.73 Å³/f.u.. Number 2: volume 160.98 Å³/f.u.. Number 3: volume 79.87 Å³/f.u.. Number 4: volume 100.76 Å³/f.u.. Number 5: volume 157.15 Å³/f.u.. Number 6: volume 77.42 Å³/f.u.. Number 7: volume 127.23 Å³/f.u.. Number 8: volume 132.41 Å³/f.u.. Number 9: volume 53.56 Å³/f.u.. Number 10: volume 167.42 Å³/f.u.. Number 11: volume 72.72 Å³/f.u.. Number 12: volume 115.75 Å³/f.u..